1.
## K2LiSb (GGA-PBEsol)

Data for a relaxed structure of K2LiSb.

Cell lengths 4.980, 5.610, 11.191 Å; angles 90.00, 90.00, 90.00 degrees
Fractional positions:
K (0.000, 0.000, 0.000)
K (0.000, 0.500, 0.500)
K (0.500, 0.000, 0.302)
K (0.500, 0.500, 0.802)
Li (0.000, 0.000, 0.664)
Li (0.000, 0.500, 0.164)
Sb (0.500, 0.000, 0.614)
Sb (0.500, 0.500, 0.114)

Values from the calculation:
raw formation energy: -383 meV/atom

***

2.
## PrCl3 (GGA-PBEsol)

Data for a relaxed structure of PrCl3.

Cell lengths 7.386, 7.386, 4.247 Å; angles 90.00, 90.00, 120.00 degrees
Fractional positions:
Pr (0.333, 0.667, 0.250)
Pr (0.667, 0.333, 0.750)
Cl (0.086, 0.698, 0.750)
Cl (0.302, 0.388, 0.750)
Cl (0.388, 0.086, 0.250)
Cl (0.612, 0.914, 0.750)
Cl (0.698, 0.612, 0.250)
Cl (0.914, 0.302, 0.250)

Values from the calculation:
raw formation energy: -2332 meV/atom

***

3.
## LiSb2IN (GGA-PBEsol)

Data for a relaxed structure of LiSb2IN.

Cell lengths 4.726, 4.726, 4.967 Å; angles 90.00, 90.00, 90.00 degrees
Fractional positions:
Li (0.000, 0.000, 0.000)
Sb (0.000, 0.500, 0.500)
Sb (0.500, 0.000, 0.500)
I (0.500, 0.500, 0.000)
N (0.500, 0.500, 0.500)

Values from the calculation:
raw formation energy: 460 meV/atom

***

4.
## BeFeIr2 (GGA-PBEsol)

Data for a relaxed structure of BeFeIr2.

Cell lengths 2.703, 4.489, 8.220 Å; angles 90.00, 90.00, 90.00 degrees
Fractional positions:
Be (0.000, 0.000, 0.000)
Be (0.500, 0.500, 0.000)
Fe (0.000, 0.500, 0.776)
Fe (0.500, 0.000, 0.776)
Ir (0.000, 0.000, 0.518)
Ir (0.000, 0.500, 0.223)
Ir (0.500, 0.000, 0.223)
Ir (0.500, 0.500, 0.518)

Values from the calculation:
uncorrected energy: -64.112 eV for the cell shown

***

Repeat the second record exactly.
## PrCl3 (GGA-PBEsol)

Data for a relaxed structure of PrCl3.

Cell lengths 7.386, 7.386, 4.247 Å; angles 90.00, 90.00, 120.00 degrees
Fractional positions:
Pr (0.333, 0.667, 0.250)
Pr (0.667, 0.333, 0.750)
Cl (0.086, 0.698, 0.750)
Cl (0.302, 0.388, 0.750)
Cl (0.388, 0.086, 0.250)
Cl (0.612, 0.914, 0.750)
Cl (0.698, 0.612, 0.250)
Cl (0.914, 0.302, 0.250)

Values from the calculation:
raw formation energy: -2332 meV/atom